The following is a DFT calculation (GGA-PBE) of Pm12PrDy6 after structural relaxation.

abc: 12.1363 12.1363 15.2883
angles: 90.00 90.00 120.00
Closest atoms and distances in Å follow each position.
Space group R-3 (No. 148, hexagonal axes)
Unique sites:
Pm1 0.0074 0.8312 0.1921 x18  4 Pm 3.46-3.63, 4 Dy 3.55-3.71, 1 Pr 3.61
Pm2 0.0455 0.8498 0.4168 x18  6 Pm 3.33-3.73, 3 Dy 3.34-3.50
Pr1 0.0000 0.0000 0.0000 x3  6 Dy 3.52, 6 Pm 3.61
Dy1 0.0125 0.4257 0.6846 x18  7 Pm 3.34-3.71, 1 Pr 3.52, 2 Dy 3.55

Properties
Energy above the most stable polymorph in this dataset ... 0.00 kcal/mol of atoms
E_tot ... -260.44 eV for the cell shown